A relaxed structure of BaZrIn. Source: the Alexandria database, functional PBE.

mass density	5.161	Mg/m³
E_form	496	meV per atom
energy relative to the lowest polymorph listed for this composition	397	meV/atom

a b c (Å): 5.3858 5.3858 5.3858
angles (deg): 60.00 60.00 60.00
Sites, in units of the cell vectors:
In1 0.7500 0.7500 0.7500
Ba1 0.5000 0.5000 0.5000
Zr1 0.0000 0.0000 0.0000